MnReOs2: optimized geometry, PBE.

Values from the calculation:
The calculation puts the offset from the most stable computed form at 0.7472 eV per atom. Its space group is I-42d (122). The total energy is -81.7 eV for the cell shown. As for the formation energy: 3.21 eV per formula unit. The calculation puts the size of the total moment at 4.7 Bohr magnetons per cell.

Cell: 3.778 3.778 9.132 Å, 78.06 78.06 90.00°
Last column: magnetic moment on the atom in μB.
Sites, in units of the cell vectors:
Mn 0.250 0.750 0.500  2.54
Os 0.875 0.840 0.750  -0.07
Os 0.160 0.625 0.250  -0.06
Os 0.590 0.125 0.250  -0.07
Re 0.750 0.250 0.500  -0.16
Os 0.375 0.410 0.750  -0.08
Mn 0.500 0.500 0.000  2.53
Re 0.000 0.000 0.000  -0.15



MnReOs4: optimized geometry, PBE.

Values from the calculation:
Its space group is F-43m (216). The total energy is -62.6 eV for the cell shown. As for the formation energy: 3.89 eV per formula unit. The calculation puts the size of the total moment at 3.3 Bohr magnetons per cell.

Cell: 5.086 5.086 5.086 Å, 60.00 60.00 60.00°
Last column: magnetic moment on the atom in μB.
Sites, in units of the cell vectors:
Os 0.875 0.375 0.375  0.04
Mn 0.000 0.000 0.000  3.45
Os 0.375 0.375 0.875  0.04
Os 0.375 0.875 0.375  0.04
Os 0.375 0.375 0.375  0.04
Re 0.750 0.750 0.750  -0.33



MnRe2Os: optimized geometry, PBE.

Values from the calculation:
The calculation puts the offset from the most stable computed form at 0.0000 eV per atom. Its space group is I4/mmm (139). The total energy is -45.1 eV for the cell shown. As for the formation energy: 0.19 eV per formula unit. The calculation puts the size of the total moment at 1.2 Bohr magnetons per cell.

Cell: 4.691 4.691 4.691 Å, 131.83 131.83 70.50°
Last column: magnetic moment on the atom in μB.
Sites, in units of the cell vectors:
Os 0.750 0.250 0.500  -0.04
Re 0.500 0.500 0.000  -0.21
Re 0.000 0.000 0.000  -0.21
Mn 0.250 0.750 0.500  1.66



MnReOs3: optimized geometry, PBE.

Values from the calculation:
The calculation puts the offset from the most stable computed form at 1.7409 eV per atom. Its space group is Pm-3m (221). The total energy is -44.4 eV for the cell shown. As for the formation energy: 10.92 eV per formula unit. The calculation puts the size of the total moment at 4.8 Bohr magnetons per cell.

Cell: 4.702 4.702 4.702 Å, 90.00 90.00 90.00°
Last column: magnetic moment on the atom in μB.
Sites, in units of the cell vectors:
Os 0.000 0.000 0.500  0.00
Os 0.500 0.000 0.000  -0.18
Os 0.000 0.500 0.000  -0.07
Mn 0.500 0.500 0.500  -4.28
Re 0.000 0.000 0.000  -0.03



Question: Which of these has the lowest size of the total moment?
Answer: MnRe2Os